*i*
Below is an optimized crystal structure of Na2YCu2, with properties calculated at the PBE level.

Lattice parameters (Å, degrees): 8.154 8.154 3.176 90.00 90.00 90.00
Sites, in units of the cell vectors:
Y  0.000  0.000  0.000
Y  0.500  0.500  0.000
Na  0.385  0.885  0.000
Na  0.885  0.615  0.000
Na  0.615  0.115  0.000
Na  0.115  0.385  0.000
Cu  0.190  0.690  0.500
Cu  0.690  0.810  0.500
Cu  0.810  0.310  0.500
Cu  0.310  0.190  0.500

## Properties
As for the space-group type: P4/mbm (127). For the volume, the calculation gives 21.1 Å³/atom.

*ii*
Below is an optimized crystal structure of Na2YCu2, with properties calculated at the PBE level.

Lattice parameters (Å, degrees): 7.170 7.170 4.601 90.00 90.00 90.00
Sites, in units of the cell vectors:
Y  0.000  0.000  0.000
Y  0.500  0.500  0.000
Na  0.164  0.664  0.500
Na  0.664  0.836  0.500
Na  0.836  0.336  0.500
Na  0.336  0.164  0.500
Cu  0.381  0.881  0.000
Cu  0.881  0.619  0.000
Cu  0.619  0.119  0.000
Cu  0.119  0.381  0.000

## Properties
As for the space-group type: P4/mbm (127). For the volume, the calculation gives 23.7 Å³/atom.

In kJ/mol of atoms, relative to the most stable structure: *i* 6.3; *ii* 0.0.

*i*
Below is an optimized crystal structure of Na2YCu, with properties calculated at the PBE level.

Lattice parameters (Å, degrees): 8.843 8.843 6.882 50.02 50.02 90.00
Sites, in units of the cell vectors:
Y  0.000  0.000  0.000
Y  0.750  0.250  0.500
Na  0.559  0.125  0.250
Na  0.191  0.625  0.250
Na  0.375  0.441  0.750
Na  0.875  0.809  0.750
Cu  0.500  0.500  0.000
Cu  0.250  0.750  0.500

## Properties
As for the space-group type: I-42d (122). For the volume, the calculation gives 28.1 Å³/atom.

*ii*
Below is an optimized crystal structure of Na2YCu, with properties calculated at the PBE level.

Lattice parameters (Å, degrees): 5.182 5.182 5.182 60.00 60.00 60.00
Sites, in units of the cell vectors:
Y  0.500  0.500  0.500
Na  0.250  0.250  0.250
Na  0.750  0.750  0.750
Cu  0.000  0.000  0.000

## Properties
As for the space-group type: Fm-3m (225). For the volume, the calculation gives 24.6 Å³/atom.

In kJ/mol of atoms, relative to the most stable structure: *i* 0.0; *ii* 9.2.

*i*
Below is an optimized crystal structure of Na3YCu, with properties calculated at the PBE level.

Lattice parameters (Å, degrees): 6.508 6.508 6.508 90.00 90.00 90.00
Sites, in units of the cell vectors:
Y  0.000  0.000  0.000
Na  0.000  0.500  0.000
Na  0.000  0.000  0.500
Na  0.500  0.000  0.000
Cu  0.500  0.500  0.500

## Properties
As for the space-group type: Pm-3m (221). For the volume, the calculation gives 55.1 Å³/atom.

*ii*
Below is an optimized crystal structure of Na3YCu, with properties calculated at the PBE level.

Lattice parameters (Å, degrees): 5.368 5.368 5.368 90.00 90.00 90.00
Sites, in units of the cell vectors:
Y  0.500  0.500  0.500
Na  0.000  0.500  0.000
Na  0.000  0.000  0.500
Na  0.500  0.000  0.000
Cu  0.000  0.000  0.000

## Properties
As for the space-group type: Pm-3m (221). For the volume, the calculation gives 30.9 Å³/atom.

In kJ/mol of atoms, relative to the most stable structure: *i* 72.1; *ii* 0.0.

*i*
Below is an optimized crystal structure of NaY2Cu2, with properties calculated at the PBE level.

Lattice parameters (Å, degrees): 7.963 7.963 3.640 90.00 90.00 90.00
Sites, in units of the cell vectors:
Y  0.162  0.662  0.500
Y  0.662  0.838  0.500
Y  0.838  0.338  0.500
Y  0.338  0.162  0.500
Na  0.000  0.000  0.000
Na  0.500  0.500  0.000
Cu  0.377  0.877  0.000
Cu  0.877  0.623  0.000
Cu  0.623  0.123  0.000
Cu  0.123  0.377  0.000

## Properties
As for the space-group type: P4/mbm (127). For the volume, the calculation gives 23.1 Å³/atom.

*ii*
Below is an optimized crystal structure of NaY2Cu2, with properties calculated at the PBE level.

Lattice parameters (Å, degrees): 8.335 8.335 3.338 90.00 90.00 90.00
Sites, in units of the cell vectors:
Y  0.352  0.852  0.000
Y  0.852  0.648  0.000
Y  0.648  0.148  0.000
Y  0.148  0.352  0.000
Na  0.000  0.000  0.000
Na  0.500  0.500  0.000
Cu  0.139  0.639  0.500
Cu  0.639  0.861  0.500
Cu  0.861  0.361  0.500
Cu  0.361  0.139  0.500

## Properties
As for the space-group type: P4/mbm (127). For the volume, the calculation gives 23.2 Å³/atom.

*iii*
Below is an optimized crystal structure of NaY2Cu2, with properties calculated at the PBE level.

Lattice parameters (Å, degrees): 3.483 3.483 10.820 80.74 80.74 90.00
Sites, in units of the cell vectors:
Y  0.362  0.362  0.277
Y  0.638  0.638  0.723
Na  0.000  0.000  0.000
Cu  0.750  0.250  0.500
Cu  0.250  0.750  0.500

## Properties
As for the space-group type: I4/mmm (139). For the volume, the calculation gives 25.6 Å³/atom.

In kJ/mol of atoms, relative to the most stable structure: *i* 0.0; *ii* 11.6; *iii* 22.2.

*i*
Below is an optimized crystal structure of NaZnCu, with properties calculated at the PBE level.

Lattice parameters (Å, degrees): 2.615 4.724 4.724 120.00 90.00 90.00
Sites, in units of the cell vectors:
Na  0.667  0.333  0.667
Zn  0.174  0.667  0.333
Cu  0.159  0.000  0.000

## Properties
As for the space-group type: P3m1 (156). For the volume, the calculation gives 16.9 Å³/atom.

*ii*
Below is an optimized crystal structure of NaZnCu, with properties calculated at the PBE level.

Lattice parameters (Å, degrees): 3.918 3.918 7.645 90.00 90.00 90.00
Sites, in units of the cell vectors:
Na  0.000  0.500  0.853
Na  0.500  0.000  0.147
Zn  0.000  0.500  0.295
Zn  0.500  0.000  0.705
Cu  0.500  0.500  0.500
Cu  0.000  0.000  0.500

## Properties
As for the space-group type: P4/nmm (129). For the volume, the calculation gives 19.6 Å³/atom.

*iii*
Below is an optimized crystal structure of NaZnCu, with properties calculated at the PBE level.

Lattice parameters (Å, degrees): 3.299 3.299 5.780 106.58 106.58 90.00
Sites, in units of the cell vectors:
Na  0.998  0.998  0.996
Zn  0.715  0.715  0.430
Cu  0.287  0.287  0.574

## Properties
As for the space-group type: I4mm (107). For the volume, the calculation gives 19.2 Å³/atom.

In kJ/mol of atoms, relative to the most stable structure: *i* 8.3; *ii* 0.0; *iii* 0.9.

*i*
Below is an optimized crystal structure of NaZr2Cu2, with properties calculated at the PBE level.

Lattice parameters (Å, degrees): 8.308 8.308 2.804 90.00 90.00 90.00
Sites, in units of the cell vectors:
Na  0.000  0.000  0.000
Na  0.500  0.500  0.000
Cu  0.153  0.653  0.500
Cu  0.653  0.847  0.500
Cu  0.847  0.347  0.500
Cu  0.347  0.153  0.500
Zr  0.358  0.858  0.000
Zr  0.858  0.642  0.000
Zr  0.642  0.142  0.000
Zr  0.142  0.358  0.000

## Properties
As for the space-group type: P4/mbm (127). For the volume, the calculation gives 19.4 Å³/atom.

*ii*
Below is an optimized crystal structure of NaZr2Cu2, with properties calculated at the PBE level.

Lattice parameters (Å, degrees): 8.104 8.104 2.901 90.00 90.00 90.00
Sites, in units of the cell vectors:
Na  0.000  0.000  0.000
Na  0.500  0.500  0.000
Cu  0.375  0.875  0.000
Cu  0.875  0.625  0.000
Cu  0.625  0.125  0.000
Cu  0.125  0.375  0.000
Zr  0.166  0.666  0.500
Zr  0.666  0.834  0.500
Zr  0.834  0.334  0.500
Zr  0.334  0.166  0.500

## Properties
As for the space-group type: P4/mbm (127). For the volume, the calculation gives 19.1 Å³/atom.

In kJ/mol of atoms, relative to the most stable structure: *i* 4.0; *ii* 0.0.

*i*
Below is an optimized crystal structure of NaZr3Cu, with properties calculated at the PBE level.

Lattice parameters (Å, degrees): 4.949 4.949 4.949 90.00 90.00 90.00
Sites, in units of the cell vectors:
Na  0.000  0.000  0.000
Cu  0.500  0.500  0.500
Zr  0.000  0.500  0.000
Zr  0.000  0.000  0.500
Zr  0.500  0.000  0.000

## Properties
As for the space-group type: Pm-3m (221). For the volume, the calculation gives 24.2 Å³/atom.

*ii*
Below is an optimized crystal structure of NaZr3Cu, with properties calculated at the PBE level.

Lattice parameters (Å, degrees): 5.037 5.037 5.037 90.00 90.00 90.00
Sites, in units of the cell vectors:
Na  0.500  0.500  0.500
Cu  0.000  0.000  0.000
Zr  0.000  0.500  0.000
Zr  0.000  0.000  0.500
Zr  0.500  0.000  0.000

## Properties
As for the space-group type: Pm-3m (221). For the volume, the calculation gives 25.6 Å³/atom.

In kJ/mol of atoms, relative to the most stable structure: *i* 91.8; *ii* 0.0.

*i*
Below is an optimized crystal structure of Na3ZrCu, with properties calculated at the PBE level.

Lattice parameters (Å, degrees): 6.142 6.142 6.142 90.00 90.00 90.00
Sites, in units of the cell vectors:
Na  0.000  0.500  0.000
Na  0.000  0.000  0.500
Na  0.500  0.000  0.000
Cu  0.500  0.500  0.500
Zr  0.000  0.000  0.000

## Properties
As for the space-group type: Pm-3m (221). For the volume, the calculation gives 46.4 Å³/atom.

*ii*
Below is an optimized crystal structure of Na3ZrCu, with properties calculated at the PBE level.

Lattice parameters (Å, degrees): 5.274 5.274 5.274 90.00 90.00 90.00
Sites, in units of the cell vectors:
Na  0.000  0.500  0.000
Na  0.000  0.000  0.500
Na  0.500  0.000  0.000
Cu  0.000  0.000  0.000
Zr  0.500  0.500  0.500

## Properties
As for the space-group type: Pm-3m (221). For the volume, the calculation gives 29.3 Å³/atom.

In kJ/mol of atoms, relative to the most stable structure: *i* 54.5; *ii* 0.0.

*i*
Below is an optimized crystal structure of Nb5Cu, with properties calculated at the PBE level.

Lattice parameters (Å, degrees): 3.348 3.348 9.274 90.00 90.00 90.00
Sites, in units of the cell vectors:
Nb  0.000  0.000  0.654
Nb  0.500  0.500  0.823
Nb  0.000  0.000  0.000
Nb  0.500  0.500  0.177
Nb  0.000  0.000  0.346
Cu  0.500  0.500  0.500

## Properties
As for the space-group type: P4/mmm (123). For the volume, the calculation gives 17.3 Å³/atom.

*ii*
Below is an optimized crystal structure of Nb5Cu, with properties calculated at the PBE level.

Lattice parameters (Å, degrees): 3.381 4.561 7.138 108.63 90.00 90.00
Sites, in units of the cell vectors:
Nb  0.000  0.662  0.325
Nb  0.000  0.338  0.675
Nb  0.500  0.500  0.000
Nb  0.500  0.165  0.331
Nb  0.500  0.835  0.669
Cu  0.000  0.000  0.000

## Properties
As for the space-group type: Cmmm (65). For the volume, the calculation gives 17.4 Å³/atom.

In kJ/mol of atoms, relative to the most stable structure: *i* 0.0; *ii* 2.0.

*i*
Below is an optimized crystal structure of NbCu2Ni8, with properties calculated at the PBE level.

Lattice parameters (Å, degrees): 4.330 6.556 7.002 62.08 72.01 48.72
Sites, in units of the cell vectors:
Nb  0.500  0.000  0.000
Cu  0.000  0.317  0.367
Cu  0.000  0.683  0.633
Ni  0.765  0.103  0.268
Ni  0.765  0.370  0.732
Ni  0.251  0.496  0.000
Ni  0.500  0.803  0.395
Ni  0.500  0.197  0.605
Ni  0.749  0.504  0.000
Ni  0.235  0.630  0.268
Ni  0.235  0.897  0.732

## Properties
As for the space-group type: C2/m (12). For the volume, the calculation gives 12.0 Å³/atom.

*ii*
Below is an optimized crystal structure of NbCu2Ni8, with properties calculated at the PBE level.

Lattice parameters (Å, degrees): 3.828 6.066 6.066 105.58 90.01 90.01
Sites, in units of the cell vectors:
Nb  0.500  0.000  0.000
Cu  0.000  0.620  0.380
Cu  0.000  0.380  0.620
Ni  0.000  0.964  0.694
Ni  0.000  0.694  0.964
Ni  0.500  0.664  0.664
Ni  0.500  0.251  0.749
Ni  0.500  0.749  0.251
Ni  0.500  0.336  0.336
Ni  0.000  0.306  0.036
Ni  0.000  0.036  0.306

## Properties
As for the space-group type: Cmmm (65). For the volume, the calculation gives 12.3 Å³/atom.

In kJ/mol of atoms, relative to the most stable structure: *i* 0.0; *ii* 4.8.

*i*
Below is an optimized crystal structure of NbCuNi4, with properties calculated at the PBE level.

Lattice parameters (Å, degrees): 6.210 6.210 6.141 120.37 120.37 90.00
Sites, in units of the cell vectors:
Nb  0.500  0.500  0.000
Nb  0.750  0.250  0.500
Cu  0.000  0.000  0.000
Cu  0.250  0.750  0.500
Ni  0.367  0.089  0.475
Ni  0.636  0.117  0.975
Ni  0.339  0.858  0.975
Ni  0.108  0.386  0.475
Ni  0.142  0.364  0.025
Ni  0.911  0.892  0.525
Ni  0.614  0.633  0.525
Ni  0.883  0.661  0.025

## Properties
As for the space-group type: I4_1/a (88). For the volume, the calculation gives 13.8 Å³/atom.

*ii*
Below is an optimized crystal structure of NbCuNi4, with properties calculated at the PBE level.

Lattice parameters (Å, degrees): 4.697 4.697 4.697 60.00 60.00 60.00
Sites, in units of the cell vectors:
Ni  0.625  0.625  0.124
Ni  0.625  0.124  0.625
Ni  0.625  0.625  0.625
Ni  0.124  0.625  0.625
Nb  0.250  0.250  0.250
Cu  0.000  0.000  0.000

## Properties
As for the space-group type: F-43m (216). For the volume, the calculation gives 12.2 Å³/atom.

In kJ/mol of atoms, relative to the most stable structure: *i* 51.5; *ii* 0.0.